Entry 1:
VASP calculation (PBE-GGA) on an optimized crystal structure of Tb6Si2Se3S.

Calculated values
The calculation puts the volume at 24.38 Å³/atom. The calculation puts the total magnetization at 0.0 μB per formula unit. The value obtained for the energy relative to the elements, uncorrected is -18.5 eV per formula unit. The calculation puts the theoretical density at 7.3 g/cm³. The calculation puts the density of states at the Fermi level at 4.2 states/eV per cell.

a b c (Å): 9.1912 9.1912 8.2299
angles (deg): 103.61 103.61 25.70
With the nearest neighbours (Å) after each atom.
Sites, in units of the cell vectors:
Tb  0.0055  0.0055  0.2438  1 Si 2.79, 2 S 2.85, 3 Se 2.96-2.97
Tb  0.3307  0.3307  0.4246  3 Si 2.86-2.87, 3 Se 2.95-2.97
Tb  0.3357  0.3357  0.9061  2 Si 2.82, 1 S 2.86, 3 Se 2.96-2.97
Tb  0.6643  0.6643  0.0939  2 Si 2.82, 1 S 2.86, 3 Se 2.96-2.97
Tb  0.6693  0.6693  0.5754  3 Si 2.86-2.87, 3 Se 2.95-2.97
Tb  0.9945  0.9945  0.7562  1 Si 2.79, 2 S 2.85, 3 Se 2.96-2.97
Si  0.1660  0.1660  0.3313  6 Tb 2.79-2.87
Si  0.8340  0.8340  0.6687  6 Tb 2.79-2.87
Se  0.1649  0.1649  0.8348  6 Tb 2.96-2.97
Se  0.5000  0.5000  0.5000  6 Tb 2.95-2.96
Se  0.8351  0.8351  0.1652  6 Tb 2.96-2.97
S  0.5000  0.5000  0.0000  6 Tb 2.85-2.86

***

Entry 2:
VASP calculation (PBE-GGA) on an optimized crystal structure of Tb8SiSe3S4.

Calculated values
The calculation puts the volume at 23.04 Å³/atom. The calculation puts the total magnetization at 0.0 μB per formula unit. The value obtained for the energy relative to the elements, uncorrected is -28.8 eV per formula unit. The calculation puts the theoretical density at 7.5 g/cm³. The calculation puts the density of states at the Fermi level at 5.8 states/eV per cell.

a b c (Å): 8.0473 8.0473 8.0473
angles (deg): 60.02 60.02 60.02
With the nearest neighbours (Å) after each atom.
Sites, in units of the cell vectors:
Tb  0.2343  0.7528  0.7528  3 S 2.77-2.88, 1 Si 2.82, 2 Se 2.92
Tb  0.2420  0.2420  0.2420  3 S 2.76, 3 Se 2.94
Tb  0.2472  0.2472  0.7657  3 S 2.77-2.88, 1 Si 2.82, 2 Se 2.92
Tb  0.2472  0.7657  0.2472  3 S 2.77-2.88, 1 Si 2.82, 2 Se 2.92
Tb  0.7528  0.2343  0.7528  3 S 2.77-2.88, 1 Si 2.82, 2 Se 2.92
Tb  0.7528  0.7528  0.2343  3 S 2.77-2.88, 1 Si 2.82, 2 Se 2.92
Tb  0.7580  0.7580  0.7580  3 S 2.76, 3 Se 2.94
Tb  0.7657  0.2472  0.2472  3 S 2.77-2.88, 1 Si 2.82, 2 Se 2.92
Si  0.0000  0.0000  0.0000  6 Tb 2.82
Se  0.0000  0.5000  0.5000  6 Tb 2.92-2.94
Se  0.5000  0.0000  0.5000  6 Tb 2.92-2.94
Se  0.5000  0.5000  0.0000  6 Tb 2.92-2.94
S  0.0000  0.0000  0.5000  6 Tb 2.76-2.77
S  0.0000  0.5000  0.0000  6 Tb 2.76-2.77
S  0.5000  0.0000  0.0000  6 Tb 2.76-2.77
S  0.5000  0.5000  0.5000  6 Tb 2.88

***

Entry 3:
VASP calculation (PBE-GGA) on an optimized crystal structure of Tb6SiSe2S3.

Calculated values
The calculation puts the volume at 23.10 Å³/atom. The calculation puts the total magnetization at 0.0 μB per formula unit. The value obtained for the energy relative to the elements, uncorrected is -21.2 eV per formula unit. The calculation puts the theoretical density at 7.4 g/cm³. The calculation puts the density of states at the Fermi level at 5.4 states/eV per cell.

a b c (Å): 6.9895 6.9895 6.9551
angles (deg): 99.64 99.64 120.01
With the nearest neighbours (Å) after each atom.
Sites, in units of the cell vectors:
Tb  0.0863  0.4065  0.7598  3 S 2.77-2.86, 1 Si 2.81, 2 Se 2.92-2.93
Tb  0.2344  0.2344  0.2421  1 Si 2.81, 3 S 2.81-2.89, 2 Se 2.92
Tb  0.4065  0.0863  0.7598  3 S 2.77-2.86, 1 Si 2.81, 2 Se 2.92-2.93
Tb  0.5935  0.9137  0.2402  3 S 2.77-2.86, 1 Si 2.81, 2 Se 2.92-2.93
Tb  0.7656  0.7656  0.7579  1 Si 2.81, 3 S 2.81-2.89, 2 Se 2.92
Tb  0.9137  0.5935  0.2402  3 S 2.77-2.86, 1 Si 2.81, 2 Se 2.92-2.93
Si  0.0000  0.0000  0.5000  6 Tb 2.81
Se  0.3333  0.6667  0.5000  6 Tb 2.92-2.93
Se  0.6667  0.3333  0.5000  6 Tb 2.92-2.93
S  0.1697  0.8303  0.0000  6 Tb 2.77-2.86
S  0.5000  0.5000  0.0000  6 Tb 2.78-2.89
S  0.8303  0.1697  0.0000  6 Tb 2.77-2.86

***

Entry 4:
VASP calculation (PBE-GGA) on an optimized crystal structure of Tb8SiSe3S3.

Calculated values
The calculation puts the volume at 24.42 Å³/atom. The calculation puts the total magnetization at 0.0 μB per formula unit. The value obtained for the energy relative to the elements, uncorrected is -24.8 eV per formula unit. The calculation puts the theoretical density at 7.4 g/cm³. The calculation puts the density of states at the Fermi level at 6.9 states/eV per cell.

a b c (Å): 8.0776 8.0776 8.0776
angles (deg): 59.25 59.25 59.25
With the nearest neighbours (Å) after each atom.
Sites, in units of the cell vectors:
Tb  0.2426  0.2426  0.2426  3 S 2.76, 3 Se 2.93
Tb  0.2430  0.7461  0.7461  2 S 2.78, 1 Si 2.80, 2 Se 2.90
Tb  0.2539  0.2539  0.7570  2 S 2.78, 1 Si 2.80, 2 Se 2.90
Tb  0.2539  0.7570  0.2539  2 S 2.78, 1 Si 2.80, 2 Se 2.90
Tb  0.7461  0.2430  0.7461  2 S 2.78, 1 Si 2.80, 2 Se 2.90
Tb  0.7461  0.7461  0.2430  2 S 2.78, 1 Si 2.80, 2 Se 2.90
Tb  0.7570  0.2539  0.2539  2 S 2.78, 1 Si 2.80, 2 Se 2.90
Tb  0.7574  0.7574  0.7574  3 S 2.76, 3 Se 2.93
Si  0.5000  0.5000  0.5000  6 Tb 2.80
Se  0.0000  0.5000  0.5000  6 Tb 2.90-2.93
Se  0.5000  0.0000  0.5000  6 Tb 2.90-2.93
Se  0.5000  0.5000  0.0000  6 Tb 2.90-2.93
S  0.0000  0.0000  0.5000  6 Tb 2.76-2.78
S  0.0000  0.5000  0.0000  6 Tb 2.76-2.78
S  0.5000  0.0000  0.0000  6 Tb 2.76-2.78

***

Entry 5:
VASP calculation (PBE-GGA) on an optimized crystal structure of Tb6SiSe3S2.

Calculated values
The calculation puts the volume at 23.64 Å³/atom. The calculation puts the total magnetization at 0.0 μB per formula unit. The value obtained for the energy relative to the elements, uncorrected is -21.0 eV per formula unit. The calculation puts the theoretical density at 7.5 g/cm³. The calculation puts the density of states at the Fermi level at 4.8 states/eV per cell.

a b c (Å): 6.9750 6.9750 7.1197
angles (deg): 99.38 99.38 119.98
With the nearest neighbours (Å) after each atom.
Sites, in units of the cell vectors:
Tb  0.0765  0.4078  0.2306  1 Si 2.78, 2 S 2.80, 3 Se 2.94-2.96
Tb  0.2548  0.2548  0.7704  1 Si 2.78, 2 S 2.80, 3 Se 2.95-2.96
Tb  0.4078  0.0765  0.2306  1 Si 2.78, 2 S 2.80, 3 Se 2.94-2.96
Tb  0.5922  0.9235  0.7694  1 Si 2.78, 2 S 2.80, 3 Se 2.94-2.96
Tb  0.7452  0.7452  0.2296  1 Si 2.78, 2 S 2.80, 3 Se 2.95-2.96
Tb  0.9235  0.5922  0.7694  1 Si 2.78, 2 S 2.80, 3 Se 2.94-2.96
Si  0.0000  0.0000  0.0000  6 Tb 2.78
Se  0.1669  0.8331  0.5000  6 Tb 2.94-2.96
Se  0.5000  0.5000  0.5000  6 Tb 2.94-2.96
Se  0.8331  0.1669  0.5000  6 Tb 2.94-2.96
S  0.3333  0.6667  0.0000  6 Tb 2.80
S  0.6667  0.3333  0.0000  6 Tb 2.80

***

Entry 6:
VASP calculation (PBE-GGA) on an optimized crystal structure of Th4Si2SeS.

Calculated values
The calculation puts the volume at 26.40 Å³/atom. The calculation puts the total magnetization at 0.0 μB per formula unit. The value obtained for the energy relative to the elements, uncorrected is -9.8 eV per formula unit. The calculation puts the theoretical density at 8.6 g/cm³. The calculation puts the density of states at the Fermi level at 5.3 states/eV per cell.

a b c (Å): 7.2174 4.2244 7.3559
angles (deg): 90.00 109.69 90.00
With the nearest neighbours (Å) after each atom.
Sites, in units of the cell vectors:
Th  0.2390  0.0000  0.2401  3 Si 2.92-2.98, 1 S 2.98, 2 Se 3.04
Th  0.2439  0.5000  0.7544  3 Si 2.92-2.97, 2 S 2.98, 1 Se 3.04
Th  0.7561  0.5000  0.2456  3 Si 2.92-2.97, 2 S 2.98, 1 Se 3.04
Th  0.7610  0.0000  0.7599  3 Si 2.92-2.98, 1 S 2.98, 2 Se 3.04
Si  0.0000  0.0000  0.5000  6 Th 2.97-2.98
Si  0.0000  0.5000  0.0000  6 Th 2.92
Se  0.5000  0.5000  0.5000  6 Th 3.04
S  0.5000  0.0000  0.0000  6 Th 2.98

***

Entry 7:
VASP calculation (PBE-GGA) on an optimized crystal structure of Th6Si2SeS3.

Calculated values
The calculation puts the volume at 25.32 Å³/atom. The calculation puts the total magnetization at 0.0 μB per formula unit. The value obtained for the energy relative to the elements, uncorrected is -17.1 eV per formula unit. The calculation puts the theoretical density at 8.9 g/cm³. The calculation puts the density of states at the Fermi level at 7.9 states/eV per cell.

a b c (Å): 9.2489 9.2489 8.2190
angles (deg): 101.82 101.82 26.23
With the nearest neighbours (Å) after each atom.
Sites, in units of the cell vectors:
Th  0.0005  0.0005  0.2389  3 S 2.87-2.92, 1 Si 2.92, 2 Se 3.00
Th  0.3291  0.3291  0.4159  3 S 2.87-2.93, 2 Si 2.93, 1 Se 3.01
Th  0.3330  0.3330  0.9158  3 S 2.94, 3 Si 2.95
Th  0.6670  0.6670  0.0842  3 S 2.94, 3 Si 2.95
Th  0.6709  0.6709  0.5841  3 S 2.87-2.93, 2 Si 2.93, 1 Se 3.01
Th  0.9995  0.9995  0.7611  3 S 2.87-2.92, 1 Si 2.92, 2 Se 3.00
Si  0.1653  0.1653  0.8305  6 Th 2.92-2.95
Si  0.8347  0.8347  0.1695  6 Th 2.92-2.95
Se  0.5000  0.5000  0.5000  6 Th 3.00-3.01
S  0.1663  0.1663  0.3337  6 Th 2.87-2.94
S  0.5000  0.5000  0.0000  6 Th 2.87-2.94
S  0.8337  0.8337  0.6663  6 Th 2.87-2.94

***

Entry 8:
VASP calculation (PBE-GGA) on an optimized crystal structure of Th6Si2Se3S.

Calculated values
The calculation puts the volume at 26.37 Å³/atom. The calculation puts the total magnetization at 0.0 μB per formula unit. The value obtained for the energy relative to the elements, uncorrected is -16.3 eV per formula unit. The calculation puts the theoretical density at 9.0 g/cm³. The calculation puts the density of states at the Fermi level at 7.7 states/eV per cell.

a b c (Å): 9.4492 9.4492 8.3875
angles (deg): 103.88 103.88 25.85
With the nearest neighbours (Å) after each atom.
Sites, in units of the cell vectors:
Th  0.0017  0.0017  0.2375  2 S 2.90, 1 Si 2.91, 3 Se 3.06-3.07
Th  0.3290  0.3290  0.4261  3 Si 2.92-2.94, 3 Se 3.04-3.06
Th  0.3395  0.3395  0.9113  1 S 2.86, 2 Si 2.91, 3 Se 3.03-3.04
Th  0.6605  0.6605  0.0887  1 S 2.86, 2 Si 2.91, 3 Se 3.03-3.04
Th  0.6710  0.6710  0.5739  3 Si 2.92-2.94, 3 Se 3.04-3.06
Th  0.9983  0.9983  0.7625  2 S 2.90, 1 Si 2.91, 3 Se 3.06-3.07
Si  0.1645  0.1645  0.3299  6 Th 2.91-2.94
Si  0.8355  0.8355  0.6701  6 Th 2.91-2.94
Se  0.1697  0.1697  0.8335  6 Th 3.03-3.07
Se  0.5000  0.5000  0.5000  6 Th 3.06
Se  0.8303  0.8303  0.1665  6 Th 3.03-3.07
S  0.5000  0.5000  0.0000  6 Th 2.86-2.90